DFT (GGA-PBE) results for a relaxed structure of AcZr2Se4.

Cell lengths 4.1878, 6.7366, 13.3454 Å; angles 90.00, 90.00, 108.11 degrees
Last column: nearest neighbours and their distance in Å.
Sites, in units of the cell vectors:
Ac1 0.6230 0.2460 0.7500  6 Se 3.11-3.15
Ac2 0.3770 0.7540 0.2500  6 Se 3.11-3.15
Zr1 0.1131 0.2263 0.4452  6 Se 2.65-2.93
Zr2 0.8869 0.7737 0.9452  6 Se 2.65-2.93
Zr3 0.1131 0.2263 0.0548  6 Se 2.65-2.93
Zr4 0.8869 0.7737 0.5548  6 Se 2.65-2.93
Se1 0.7621 0.5241 0.1120  3 Zr 2.74-2.93
Se2 0.7621 0.5241 0.3880  3 Zr 2.74-2.93
Se3 0.2379 0.4759 0.8880  3 Zr 2.74-2.93
Se4 0.2379 0.4759 0.6120  3 Zr 2.74-2.93
Se5 0.9431 0.8862 0.7500  2 Zr 2.70
Se6 0.0569 0.1138 0.2500  2 Zr 2.70
Se7 0.5000 0.0000 0.0000  4 Zr 2.65
Se8 0.5000 0.0000 0.5000  4 Zr 2.65

## Properties
The space group is Cmcm, No. 63. As for the magnetic moment: 0.00 μB per cell. The energy is -45.35 eV per formula unit.